Entry 1:
Here is a geometry-optimized Tl2Sb2Te structure from Alexandria. Energies are from GGA-PBE.

Cell lengths 10.3233, 10.3233, 3.1708 Å; angles 90.00, 90.00, 90.00 degrees
Last column: nearest neighbours and their distance in Å.
Atoms (fractional coordinates):
Sb1 0.0964 0.5964 0.5000  1 Sb 2.81
Sb2 0.5964 0.9036 0.5000  1 Sb 2.81
Sb3 0.9036 0.4036 0.5000  1 Sb 2.81
Sb4 0.4036 0.0964 0.5000  1 Sb 2.81
Tl1 0.3069 0.8069 0.0000  2 Tl 3.17, 6 Sb 3.46-3.53
Tl2 0.8069 0.6931 0.0000  2 Tl 3.17, 6 Sb 3.46-3.53
Tl3 0.6931 0.1931 0.0000  2 Tl 3.17, 6 Sb 3.46-3.53
Tl4 0.1931 0.3069 0.0000  2 Tl 3.17, 6 Sb 3.46-3.53
Te1 0.0000 0.0000 0.0000  2 Te 3.17
Te2 0.5000 0.5000 0.0000  2 Te 3.17

The total moment comes out at 0.0 μB/f.u. The value obtained for the polymorph energy (0 for the lowest one) is 0.096 eV/atom. The value obtained for the total energy is -3.117 eV per atom. Its density is 7665 kg/m3. The density of states at the Fermi level comes out at 0.462 states/eV/atom. The calculation puts the uncorrected formation energy at 107 meV per atom. As for the space group: No. 127.

=====

Entry 2:
Here is a geometry-optimized ZrRhBr2 structure from Alexandria. Energies are from GGA-PBE.

Cell lengths 4.6910, 5.4582, 4.0515 Å; angles 68.40, 89.61, 115.29 degrees
Last column: nearest neighbours and their distance in Å.
Atoms (fractional coordinates):
Rh1 0.0000 0.5000 0.5000  4 Br 2.74
Br1 0.0000 0.0000 0.0000  2 Rh 2.74, 2 Zr 2.74
Br2 0.5000 0.0000 0.5000  2 Zr 2.74, 2 Rh 2.74
Zr1 0.5000 0.5000 0.0000  4 Br 2.74

The total moment comes out at 0.0 μB/f.u. The value obtained for the polymorph energy (0 for the lowest one) is 0.595 eV/atom. The value obtained for the total energy is -4.913 eV per atom. Its density is 6872 kg/m3. The density of states at the Fermi level comes out at 0.606 states/eV/atom. The calculation puts the uncorrected formation energy at -102 meV per atom. As for the space group: No. 12.